Here is an optimized crystal structure of Rb6WF12 from the Alexandria database. Energies are from GGA+U.

Cell: 12.1968 12.1968 11.2128 Å, 90.00 90.00 120.00°
Closest atoms and distances in Å follow each position.
Space group R-3 (No. 148, hexagonal axes)
Inequivalent atoms, fractional coordinates:
Rb  0.0263  0.2357  0.1424 x18  4 F 2.66-2.78
W  0.0000  0.0000  0.5000 x3  6 F 1.95
F  0.0198  0.1421  0.4047 x18  1 W 1.95
F  0.0197  0.2254  0.8947 x18  4 Rb 2.66-2.78

Values from the calculation:
density of states at the Fermi level: 50.18 states/eV/cell
uncorrected energy: -4.464 eV per atom
volume: 1444.6 Å³ per cell
magnetization: 6.528 μB/cell